1.
This record from Alexandria describes crystalline Rb2U2Se2S at its relaxed geometry. The functional is PBE-GGA.

The structure in extended XYZ format:
```
14
Lattice="5.190 0.000 0.000 0.000 5.190 0.000 0.000 0.000 17.354" Properties=species:S:1:pos:R:3 pbc="T T T"
Rb 0.000 0.000 3.284
Rb 0.000 0.000 14.071
Rb 2.595 2.595 5.394
Rb 2.595 2.595 11.961
U 0.000 2.595 0.000
U 0.000 2.595 8.677
U 2.595 0.000 0.000
U 2.595 0.000 8.677
Se 0.000 0.000 6.875
Se 0.000 0.000 10.479
Se 2.595 2.595 1.802
Se 2.595 2.595 15.552
S 0.000 0.000 0.000
S 2.595 2.595 8.677
```

Summary:
* symmetry: I4/mmm (139)
* DOS at the Fermi energy: 20.5 states/eV per cell
* raw total energy: -5.877 eV per atom
* theoretical density: 5.9 g/cm³
* energy relative to the elements, uncorrected: -0.790 eV/atom

=====

2.
This record from Alexandria describes crystalline Th5OsS5 at its relaxed geometry. The functional is PBE-GGA.

The structure in extended XYZ format:
```
11
Lattice="6.526 -2.887 0.000 6.526 2.887 0.000 -2.518 0.000 7.692" Properties=species:S:1:pos:R:3 pbc="T T T"
Th 0.000 0.000 0.000
Th 2.711 0.000 5.179
Th 4.030 0.000 1.298
Th 6.505 0.000 6.394
Th 7.824 0.000 2.513
Os 6.526 0.000 0.000
S 0.092 0.000 6.407
S 1.403 0.000 2.583
S 5.267 0.000 3.846
S 9.131 0.000 5.109
S 10.442 0.000 1.284
```

Summary:
* symmetry: C2/m (12)
* DOS at the Fermi energy: 7.7 states/eV per cell
* raw total energy: -7.842 eV per atom
* theoretical density: 8.7 g/cm³
* energy relative to the elements, uncorrected: -1.573 eV/atom

=====

3.
This record from Alexandria describes crystalline YMg2Se at its relaxed geometry. The functional is PBE-GGA.

The structure in extended XYZ format:
```
8
Lattice="4.387 0.000 0.000 0.000 4.387 0.000 0.000 0.000 9.650" Properties=species:S:1:pos:R:3 pbc="T T T"
Y 0.000 0.000 0.000
Y 2.193 2.193 4.825
Mg 0.000 0.000 4.825
Mg 0.000 2.193 7.238
Mg 2.193 0.000 2.413
Mg 2.193 2.193 0.000
Se 0.000 2.193 2.413
Se 2.193 0.000 7.238
```

Summary:
* symmetry: I-4m2 (119)
* DOS at the Fermi energy: 2.6 states/eV per cell
* raw total energy: -3.785 eV per atom
* theoretical density: 3.9 g/cm³
* energy relative to the elements, uncorrected: -0.500 eV/atom

=====

4.
This record from Alexandria describes crystalline LaErMgAu at its relaxed geometry. The functional is PBE-GGA.

The structure in extended XYZ format:
```
16
Lattice="7.517 0.000 0.000 0.000 7.517 0.000 0.000 0.000 7.517" Properties=species:S:1:pos:R:3 pbc="T T T"
La 0.000 0.000 0.000
La 0.000 3.758 3.758
La 3.758 0.000 3.758
La 3.758 3.758 0.000
Er 0.000 0.000 3.758
Er 0.000 3.758 0.000
Er 3.758 0.000 0.000
Er 3.758 3.758 3.758
Mg 1.879 1.879 1.879
Mg 1.879 5.638 5.638
Mg 5.638 1.879 5.638
Mg 5.638 5.638 1.879
Au 1.879 1.879 5.638
Au 1.879 5.638 1.879
Au 5.638 1.879 1.879
Au 5.638 5.638 5.638
```

Summary:
* calculated formation energy: -0.379 eV/atom
* symmetry: F-43m (216)
* DOS at the Fermi energy: 11.5 states/eV per cell
* raw total energy: -3.969 eV per atom
* theoretical density: 8.2 g/cm³

=====

Question: Among the records above, which one has the highest theoretical density?
Answer: Th5OsS5